A plane-wave DFT calculation with GGA-PBE was carried out for a relaxed LiLaGe2Au5 crystal.

* VASP energy: -35.437 eV per cell
* formation enthalpy at 0 K: -7.62 kcal/mol of atoms

```
LiLaGe2Au5
1.0
4.714 0.000 0.000
0.000 4.714 0.000
0.000 0.000 8.841
Au Ge Li La
5 2 1 1
Cartesian
0.000 2.357 6.529
2.357 0.000 2.312
2.357 2.357 4.420
2.357 0.000 6.529
0.000 2.357 2.312
2.357 2.357 7.559
2.357 2.357 1.282
0.000 0.000 0.000
0.000 0.000 4.420
```